VASP calculation (PBE) on NaAlSn2Se6 after structural relaxation.

abc: 7.5080 9.5454 9.5454
angles: 86.62 73.60 73.60
Fractional coordinates of all 20 atoms:
Na1 0.2500 0.8642 0.1358
Na2 0.7500 0.1358 0.8642
Al1 0.2500 0.1884 0.8116
Al2 0.7500 0.8116 0.1884
Sn1 0.3203 0.7758 0.6164
Sn2 0.1797 0.3836 0.2242
Sn3 0.6797 0.2242 0.3836
Sn4 0.8203 0.6164 0.7758
Se1 0.1514 0.9626 0.8308
Se2 0.3486 0.1692 0.0374
Se3 0.8486 0.0374 0.1692
Se4 0.6514 0.8308 0.9626
Se5 0.4366 0.8857 0.3655
Se6 0.0634 0.6345 0.1143
Se7 0.5634 0.1143 0.6345
Se8 0.9366 0.3655 0.8857
Se9 0.0448 0.6985 0.5505
Se10 0.4552 0.4495 0.3015
Se11 0.9552 0.3015 0.4495
Se12 0.5448 0.5505 0.6985

## Properties
formation energy without anion corrections = -527 meV per atom



VASP calculation (PBE) on SbP2PtCl after structural relaxation.

abc: 5.1678 5.0043 5.1678
angles: 90.00 90.00 90.00
Last column: magnetic moment on the atom in μB.
Fractional coordinates of all 5 atoms:
Sb1 0.0000 0.0000 0.0000  -0.01
P1 0.0000 0.0000 0.5000  0.31
P2 0.5000 0.0000 0.0000  0.44
Pt1 0.0000 0.5000 0.0000  0.04
Cl1 0.5000 0.5000 0.5000  0.24

## Properties
formation energy without anion corrections = 1126 meV per atom
N(E_F) = 2.083 states/eV per cell
energy above the most stable polymorph in this dataset = 673.3 meV/atom



VASP calculation (PBE) on Pu2SbPd6 after structural relaxation.

abc: 5.7750 5.7072 6.3259
angles: 78.67 90.00 120.39
Last column: magnetic moment on the atom in μB.
Fractional coordinates of all 9 atoms:
Pu1 0.6458 0.2916 0.1595  5.17
Pu2 0.3542 0.7084 0.8405  5.17
Sb1 0.0000 0.0000 0.0000  -0.03
Pd1 0.8659 0.2574 0.6699  -0.04
Pd2 0.8665 0.7330 0.6931  -0.03
Pd3 0.3915 0.2574 0.6699  -0.04
Pd4 0.1341 0.7426 0.3301  -0.04
Pd5 0.1335 0.2670 0.3069  -0.03
Pd6 0.6085 0.7426 0.3301  -0.04

## Properties
formation energy without anion corrections = -496 meV per atom
N(E_F) = 28.622 states/eV per cell
energy above the most stable polymorph in this dataset = 6.4 meV/atom